{"formula": "Ca2PrF8", "functional": "PBE", "state": "relaxed", "magmom_total_mub_per_fu": 1.037, "e_form_raw_ev_per_fu": -38.98, "space_group": "Immm, No. 71", "lattice": [[-1.9849, 3.0032, 5.9232], [1.9849, -3.0032, 5.9232], [1.9849, 3.0032, -5.9232]], "species": ["Ca", "Ca", "Pr", "F", "F", "F", "F", "F", "F", "F", "F"], "frac_coords": [[0.1861, 0.1861, 0.0000], [0.8139, 0.8139, 0.0000], [0.5000, 0.5000, 0.0000], [0.0683, 0.3370, 0.7314], [0.1717, 0.0000, 0.1717], [0.3813, 0.8813, 0.5000], [0.3944, 0.6630, 0.7314], [0.6056, 0.3370, 0.2686], [0.6187, 0.1187, 0.5000], [0.8283, 0.0000, 0.8283], [0.9317, 0.6630, 0.2686]]}